Entry 1:
DFT (PBE) results for BaRhPb2 after structural relaxation.

The structure in CIF format:
```
data_BaRhPb2
_symmetry_space_group_name_H-M 'P 1'
_symmetry_Int_Tables_number 1
_symmetry_space_group_name_Hall 'P 1'
_cell_length_a 3.630
_cell_length_b 3.630
_cell_length_c 8.187
_cell_angle_alpha 90.00
_cell_angle_beta 90.00
_cell_angle_gamma 90.00
loop_
_atom_site_label
_atom_site_type_symbol
_atom_site_fract_x
_atom_site_fract_y
_atom_site_fract_z
Ba1 Ba 0.000 0.000 0.000
Rh1 Rh 0.000 0.000 0.500
Pb1 Pb 0.500 0.500 0.313
Pb2 Pb 0.500 0.500 0.687
```

Properties
Total DFT energy (no corrections) (eV/atom): -4.34
Space group: No. 123
E_form (eV per atom): -0.17

---

Entry 2:
DFT (PBE) results for TlFe2CoI8 after structural relaxation.

The structure in CIF format:
```
data_TlFe2CoI8
_symmetry_space_group_name_H-M 'P 1'
_symmetry_Int_Tables_number 1
_symmetry_space_group_name_Hall 'P 1'
_cell_length_a 7.061
_cell_length_b 7.061
_cell_length_c 10.072
_cell_angle_alpha 93.72
_cell_angle_beta 93.72
_cell_angle_gamma 69.13
loop_
_atom_site_label
_atom_site_type_symbol
_atom_site_fract_x
_atom_site_fract_y
_atom_site_fract_z
Tl1 Tl 0.000 0.000 0.000
Fe1 Fe 0.375 0.375 0.714
Fe2 Fe 0.625 0.625 0.286
Co1 Co 0.000 0.000 0.500
I1 I 0.232 0.749 0.300
I2 I 0.233 0.233 0.506
I3 I 0.251 0.768 0.700
I4 I 0.300 0.300 0.944
I5 I 0.700 0.700 0.056
I6 I 0.749 0.232 0.300
I7 I 0.767 0.767 0.494
I8 I 0.768 0.251 0.700
```

Properties
Total DFT energy (no corrections) (eV/atom): -3.41
Space group: No. 12
E_form (uncorrected) (eV per atom): -0.174

---

Entry 3:
DFT (PBE) results for GeRhSN2 after structural relaxation.

The structure in CIF format:
```
data_GeRhSN2
_symmetry_space_group_name_H-M 'P 1'
_symmetry_Int_Tables_number 1
_symmetry_space_group_name_Hall 'P 1'
_cell_length_a 3.640
_cell_length_b 3.640
_cell_length_c 5.457
_cell_angle_alpha 90.00
_cell_angle_beta 90.00
_cell_angle_gamma 90.00
loop_
_atom_site_label
_atom_site_type_symbol
_atom_site_fract_x
_atom_site_fract_y
_atom_site_fract_z
Ge1 Ge 0.000 0.000 0.000
Rh1 Rh 0.500 0.500 0.500
S1 S 0.000 0.000 0.500
N1 N 0.000 0.500 0.000
N2 N 0.500 0.000 0.000
```

Properties
Total DFT energy (no corrections) (eV/atom): -5.23
Space group: No. 123
E_form (uncorrected) (eV per atom): 1.322